A relaxed La2ZrAu crystal, computed with PBE.

abc: 7.404 7.404 7.404
angles: 90.00 90.00 90.00
Space group F-43m (No. 216)
Symmetry-distinct sites (fractional):
La: 0.000 0.000 0.000
La: 0.250 0.250 0.250
Zr: 0.250 0.250 0.750
Au: 0.000 0.000 0.500

* energy above the most stable polymorph in this dataset: 187 meV per atom
* ΔH_f (0 K): -0.074 eV per atom
* DFT total energy: -5.4946 eV per atom
* volume: 406 Å³ per cell

A relaxed MgBeCrPd2 crystal, computed with PBE.

abc: 4.577 4.577 4.192
angles: 90.00 90.00 90.00
Space group P4/mmm (No. 123)
Symmetry-distinct sites (fractional):
Mg: 0.000 0.000 0.000
Be: 0.500 0.500 0.000
Cr: 0.500 0.500 0.500
Pd: 0.000 0.500 0.500

* ΔH_f (0 K): 0.687 eV per atom
* DFT total energy: -4.3789 eV per atom
* volume: 88 Å³ per cell

A relaxed Mg4Hg3Au crystal, computed with PBE.

abc: 3.296 3.296 15.075
angles: 90.00 90.00 90.00
Space group P4/mmm (No. 123)
Symmetry-distinct sites (fractional):
Mg: 0.000 0.000 0.110
Mg: 0.000 0.000 0.370
Hg: 0.500 0.500 0.240
Hg: 0.500 0.500 0.500
Au: 0.500 0.500 0.000

* ΔH_f (0 K): -0.321 eV per atom
* DFT total energy: -1.6412 eV per atom
* volume: 164 Å³ per cell

A relaxed TiZn4Cu3 crystal, computed with PBE.

abc: 8.008 6.931 3.974
angles: 90.00 90.00 90.00
Space group Pmma (No. 51)
Symmetry-distinct sites (fractional):
Ti: 0.000 0.000 0.000
Zn: 0.000 0.263 0.500
Zn: 0.250 0.263 0.002
Cu: 0.000 0.500 0.000
Cu: 0.250 0.000 0.503
Cu: 0.250 0.500 0.502

* ΔH_f (0 K): -0.093 eV per atom
* DFT total energy: -3.2532 eV per atom
* volume: 221 Å³ per cell

A relaxed YOs2W crystal, computed with PBE.

abc: 2.838 2.838 8.728
angles: 90.00 90.00 90.00
Space group P4mm (No. 99)
Symmetry-distinct sites (fractional):
Y: 0.000 0.000 0.000
Os: 0.000 0.000 0.466
Os: 0.500 0.500 0.275
W: 0.500 0.500 0.710

* energy above the most stable polymorph in this dataset: 296 meV per atom
* ΔH_f (0 K): 0.325 eV per atom
* DFT total energy: -10.1445 eV per atom
* volume: 70 Å³ per cell

A relaxed Li2PrHo2Bi2 crystal, computed with PBE.

abc: 4.8955 4.8955 27.0972
angles: 90.00 90.00 120.00
Space group R-3m (No. 166, hexagonal axes)
Symmetry-distinct sites (fractional):
Li: 0.0000 0.0000 0.0835
Pr: 0.0000 0.0000 0.5000
Ho: 0.0000 0.0000 0.3672
Bi: 0.0000 0.0000 0.2384

* ΔH_f (0 K): -0.405 eV per atom
* DFT total energy: -4.0516 eV per atom
* volume: 562 Å³ per cell

A relaxed Zr2WSe crystal, computed with PBE.

abc: 3.4375 3.4375 23.8601
angles: 90.00 90.00 120.00
Space group R-3m (No. 166, hexagonal axes)
Symmetry-distinct sites (fractional):
Zr: 0.0000 0.0000 0.2488
W: 0.0000 0.0000 0.0000
Se: 0.0000 0.0000 0.5000

* raw formation energy: -0.34 eV/atom
* DFT total energy: -8.7271 eV per atom
* volume: 244 Å³ per cell

A relaxed CuRe3N crystal, computed with PBE.

abc: 4.031 4.031 4.031
angles: 90.00 90.00 90.00
Space group Pm-3m (No. 221)
Symmetry-distinct sites (fractional):
Cu: 0.000 0.000 0.000
Re: 0.000 0.500 0.500
N: 0.500 0.500 0.500

* energy above the most stable polymorph in this dataset: 0 meV per atom
* raw formation energy: 0.42 eV/atom
* DFT total energy: -9.5315 eV per atom
* volume: 65 Å³ per cell

A relaxed TiIn2F8 crystal, computed with PBE.

abc: 10.935 4.996 6.613
angles: 90.00 92.90 90.00
Space group C2/m (No. 12)
Symmetry-distinct sites (fractional):
Ti: 0.000 0.000 0.000
In: 0.123 0.000 0.477
F: 0.080 0.247 0.177
F: 0.136 0.000 0.827
F: 0.190 0.500 0.541

* energy above the most stable polymorph in this dataset: 0 meV per atom
* raw formation energy: -2.69 eV/atom
* DFT total energy: -5.2650 eV per atom
* volume: 361 Å³ per cell

A relaxed CoSn2BiPb crystal, computed with PBE.

abc: 4.892 4.892 5.569
angles: 90.00 90.00 90.00
Space group P4/mmm (No. 123)
Symmetry-distinct sites (fractional):
Co: 0.000 0.000 0.000
Sn: 0.000 0.500 0.000
Bi: 0.000 0.000 0.500
Pb: 0.500 0.500 0.500

* energy above the most stable polymorph in this dataset: 71 meV per atom
* ΔH_f (0 K): 0.160 eV per atom
* DFT total energy: -4.3806 eV per atom
* volume: 133 Å³ per cell

A relaxed Cs3BaCu2Cl9 crystal, computed with PBE.

abc: 7.4112 7.4112 9.4569
angles: 90.00 90.00 120.00
Space group P-3m1 (No. 164)
Symmetry-distinct sites (fractional):
Cs: 0.0000 0.0000 0.0000
Cs: 0.3333 0.6667 0.6970
Ba: 0.0000 0.0000 0.5000
Cu: 0.3333 0.6667 0.1474
Cl: 0.0000 0.5000 0.0000
Cl: 0.1801 0.3603 0.2984

* raw formation energy: -1.45 eV/atom
* DFT total energy: -3.4038 eV per atom
* volume: 450 Å³ per cell

A relaxed Sm3SbO3 crystal, computed with PBE.

abc: 13.498 3.978 12.055
angles: 90.00 118.56 90.00
Space group C2/m (No. 12)
Symmetry-distinct sites (fractional):
Sm: 0.120 0.000 0.442
Sm: 0.128 0.000 0.899
Sm: 0.156 0.500 0.207
Sb: 0.119 0.500 0.680
O: 0.064 0.000 0.197
O: 0.163 0.500 0.013
O: 0.190 0.500 0.410

* energy above the most stable polymorph in this dataset: 0 meV per atom
* raw formation energy: -2.77 eV/atom
* DFT total energy: -7.5065 eV per atom
* volume: 568 Å³ per cell

A relaxed TbGdEr4 crystal, computed with PBE.

abc: 9.251 9.251 9.251
angles: 90.00 90.00 90.00
Space group F-43m (No. 216)
Symmetry-distinct sites (fractional):
Tb: 0.000 0.000 0.000
Gd: 0.250 0.250 0.250
Er: 0.125 0.125 0.625

* ΔH_f (0 K): 0.251 eV per atom
* DFT total energy: -5.9094 eV per atom
* volume: 792 Å³ per cell

A relaxed Cs3Cu2I2Cl4 crystal, computed with PBE.

abc: 5.084 5.084 29.483
angles: 90.00 90.00 90.00
Space group I4/mmm (No. 139)
Symmetry-distinct sites (fractional):
Cs: 0.000 0.000 0.000
Cs: 0.000 0.000 0.167
Cu: 0.000 0.000 0.398
I: 0.000 0.000 0.307
Cl: 0.000 0.500 0.084

* raw formation energy: -1.11 eV/atom
* DFT total energy: -3.0444 eV per atom
* volume: 762 Å³ per cell

A relaxed La3NdPu2S6 crystal, computed with PBE.

abc: 7.048 12.208 7.092
angles: 90.00 109.31 90.00
Space group C2/m (No. 12)
Symmetry-distinct sites (fractional):
La: 0.000 0.000 0.000
La: 0.000 0.335 0.000
Nd: 0.000 0.500 0.500
Pu: 0.000 0.167 0.500
S: 0.240 0.000 0.738
S: 0.249 0.330 0.739

* raw formation energy: -2.01 eV/atom
* DFT total energy: -8.0946 eV per atom
* volume: 576 Å³ per cell

A relaxed KMnZn2 crystal, computed with PBE.

abc: 4.659 5.685 7.291
angles: 90.00 90.00 90.00
Space group Immm (No. 71)
Symmetry-distinct sites (fractional):
K: 0.000 0.000 0.000
Mn: 0.000 0.000 0.500
Zn: 0.000 0.500 0.192

* energy above the most stable polymorph in this dataset: 263 meV per atom
* ΔH_f (0 K): 0.539 eV per atom
* DFT total energy: -2.6652 eV per atom
* volume: 193 Å³ per cell

A relaxed Co3P crystal, computed with PBE.

abc: 6.844 6.270 4.328
angles: 90.00 90.00 90.00
Space group Cmcm (No. 63)
Symmetry-distinct sites (fractional):
Co: 0.000 0.075 0.250
Co: 0.173 0.267 0.750
P: 0.000 0.410 0.250

* energy above the most stable polymorph in this dataset: 475 meV per atom
* ΔH_f (0 K): 0.132 eV per atom
* DFT total energy: -6.5502 eV per atom
* volume: 186 Å³ per cell

A relaxed SrTl2Cr crystal, computed with PBE.

abc: 3.884 4.337 14.083
angles: 90.00 90.00 90.00
Space group Imm2 (No. 44)
Symmetry-distinct sites (fractional):
Sr: 0.000 0.000 0.000
Tl: 0.000 0.000 0.626
Tl: 0.000 0.500 0.798
Cr: 0.000 0.500 0.285

* ΔH_f (0 K): 0.235 eV per atom
* DFT total energy: -3.7741 eV per atom
* volume: 237 Å³ per cell

A relaxed H2PbI2 crystal, computed with PBE.

abc: 4.301 7.539 16.617
angles: 90.00 97.02 90.00
Space group C2/c (No. 15)
Symmetry-distinct sites (fractional):
H: 0.065 0.131 0.385
Pb: 0.000 0.047 0.750
I: 0.066 0.369 0.888

* DFT total energy: -2.4024 eV per atom
* volume: 535 Å³ per cell

A relaxed HgGeSb crystal, computed with PBE.

abc: 4.0925 4.0925 5.6460
angles: 90.00 90.00 120.00
Space group P3m1 (No. 156)
Symmetry-distinct sites (fractional):
Hg: 0.0000 0.0000 0.0000
Ge: 0.3333 0.6667 0.6485
Sb: 0.6667 0.3333 0.4046

* energy above the most stable polymorph in this dataset: 0 meV per atom
* raw formation energy: 0.11 eV/atom
* DFT total energy: -2.8995 eV per atom
* volume: 82 Å³ per cell